VASP calculation (GGA-PBE) on a geometry-optimized Pd5PtPb2 structure.

- total moment (μB/f.u.) = 0.000
- energy of formation from the pure elements (eV per atom) = -0.265
- N(E_F) (states/eV/f.u.) = 2.1

```
data_Pd5PtPb2
_chemical_formula_sum 'Pd10 Pt2 Pb4'
_cell_length_a 5.8061
_cell_length_b 11.6163
_cell_length_c 4.1254
_cell_angle_alpha 90.00
_cell_angle_beta 90.00
_cell_angle_gamma 90.00
_space_group_name_H-M_alt 'P b a m'
_space_group_IT_number 55
loop_
_space_group_symop_operation_xyz
'x,y,z'
'-x,-y,-z'
'-x,-y,z'
'x,y,-z'
'x+1/2,-y+1/2,-z'
'-x+1/2,y+1/2,z'
'-x+1/2,y+1/2,-z'
'x+1/2,-y+1/2,z'
loop_
_atom_site_label
_atom_site_fract_x
_atom_site_fract_y
_atom_site_fract_z
Pd1 0.0000 0.0000 0.0000
Pd2 0.0011 0.2514 0.0000
Pd3 0.2486 0.6240 0.5000
Pt1 0.0000 0.5000 0.0000
Pb1 0.2471 0.8739 0.5000
```

***

VASP calculation (GGA-PBE) on a geometry-optimized Pd4PtPb structure.

- total moment (μB/f.u.) = 0.000
- energy of formation from the pure elements (eV per atom) = -0.088
- N(E_F) (states/eV/f.u.) = 5.6
- polymorph energy (0 for the lowest one) (meV/atom) = 77

```
data_Pd4PtPb
_chemical_formula_sum 'Pd32 Pt8 Pb8'
_cell_length_a 5.6165
_cell_length_b 9.4604
_cell_length_c 15.6327
_cell_angle_alpha 90.00
_cell_angle_beta 90.00
_cell_angle_gamma 90.00
_space_group_name_H-M_alt 'F d d d'
_space_group_IT_number 70
loop_
_space_group_symop_operation_xyz
'x,y,z'
'-x,-y,-z'
'-x+1/4,-y+1/4,z'
'x+1/4,y+1/4,-z'
'x,-y+1/4,-z+1/4'
'-x,y+1/4,z+1/4'
'-x+1/4,y,-z+1/4'
'x+1/4,-y,z+1/4'
'x,y+1/2,z+1/2'
'-x,-y+1/2,-z+1/2'
'-x+1/4,-y+3/4,z+1/2'
'x+1/4,y+3/4,-z+1/2'
'x,-y+3/4,-z+3/4'
'-x,y+3/4,z+3/4'
'-x+1/4,y+1/2,-z+3/4'
'x+1/4,-y+1/2,z+3/4'
'x+1/2,y,z+1/2'
'-x+1/2,-y,-z+1/2'
'-x+3/4,-y+1/4,z+1/2'
'x+3/4,y+1/4,-z+1/2'
'x+1/2,-y+1/4,-z+3/4'
'-x+1/2,y+1/4,z+3/4'
'-x+3/4,y,-z+3/4'
'x+3/4,-y,z+3/4'
'x+1/2,y+1/2,z'
'-x+1/2,-y+1/2,-z'
'-x+3/4,-y+3/4,z'
'x+3/4,y+3/4,-z'
'x+1/2,-y+3/4,-z+1/4'
'-x+1/2,y+3/4,z+1/4'
'-x+3/4,y+1/2,-z+1/4'
'x+3/4,-y+1/2,z+1/4'
loop_
_atom_site_label
_atom_site_fract_x
_atom_site_fract_y
_atom_site_fract_z
Pd1 0.1200 0.3712 0.2162
Pt1 0.1250 0.1250 0.1250
Pb1 0.1250 0.1250 0.6250
```

***

VASP calculation (GGA-PBE) on a geometry-optimized PdPt2Pb4 structure.

- total moment (μB/f.u.) = 0.000
- energy of formation from the pure elements (eV per atom) = -0.205
- N(E_F) (states/eV/f.u.) = 3.2

```
data_PdPt2Pb4
_chemical_formula_sum 'Pd2 Pt4 Pb8'
_cell_length_a 13.9003
_cell_length_b 4.0733
_cell_length_c 7.0897
_cell_angle_alpha 90.00
_cell_angle_beta 120.21
_cell_angle_gamma 90.00
_space_group_name_H-M_alt 'C 1 2/m 1'
_space_group_IT_number 12
loop_
_space_group_symop_operation_xyz
'x,y,z'
'-x,-y,-z'
'-x,y,-z'
'x,-y,z'
'x+1/2,y+1/2,z'
'-x+1/2,-y+1/2,-z'
'-x+1/2,y+1/2,-z'
'x+1/2,-y+1/2,z'
loop_
_atom_site_label
_atom_site_fract_x
_atom_site_fract_y
_atom_site_fract_z
Pd1 0.0000 0.0000 0.0000
Pt1 0.2409 0.0000 0.2528
Pb1 0.1172 0.0000 0.4721
Pb2 0.1232 0.5000 0.9353
```

***

VASP calculation (GGA-PBE) on a geometry-optimized Pd2Pt3Pb2 structure.

- total moment (μB/f.u.) = 0.000
- energy of formation from the pure elements (eV per atom) = -0.083
- N(E_F) (states/eV/f.u.) = 3.2

```
data_Pd2Pt3Pb2
_chemical_formula_sum 'Pd4 Pt6 Pb4'
_cell_length_a 9.4800
_cell_length_b 3.9813
_cell_length_c 8.0682
_cell_angle_alpha 90.00
_cell_angle_beta 117.17
_cell_angle_gamma 90.00
_space_group_name_H-M_alt 'C 1 2/m 1'
_space_group_IT_number 12
loop_
_space_group_symop_operation_xyz
'x,y,z'
'-x,-y,-z'
'-x,y,-z'
'x,-y,z'
'x+1/2,y+1/2,z'
'-x+1/2,-y+1/2,-z'
'-x+1/2,y+1/2,-z'
'x+1/2,-y+1/2,z'
loop_
_atom_site_label
_atom_site_fract_x
_atom_site_fract_y
_atom_site_fract_z
Pd1 0.1587 0.0000 0.3732
Pt1 0.0000 0.5000 0.5000
Pt2 0.0411 0.5000 0.8620
Pb1 0.2056 0.0000 0.7721
```